No. 1
Er2IrO | PBE | relaxed

## Properties
The size of the total moment is 0.000 μB per formula unit. Its density of states at the Fermi level is 2.60 states/eV per cell. For the calculated volume, the calculation gives 103.3 Å³ per cell. The value obtained for the calculated total energy is -0.2643 Ha/atom. As for the space-group type: R-3m, No. 166. As for the uncorrected formation energy: -1.45 eV/atom.

a b c (Å): 4.1208 4.1208 7.4169
angles (deg): 73.87 73.87 60.00
Last column: nearest neighbours and their distance in Å.
Fractional coordinates of all 4 atoms:
O1 0.0000 0.0000 0.0000  2 Er 2.02
Ir1 0.5000 0.5000 0.5000  6 Er 2.81
Er1 0.0959 0.0959 0.7122  1 O 2.02
Er2 0.9041 0.9041 0.2878  1 O 2.02

No. 2
Er4Ir6O19 | PBE | relaxed

## Properties
The size of the total moment is 0.009 μB per formula unit. Its density of states at the Fermi level is 20.74 states/eV per cell. For the calculated volume, the calculation gives 361.5 Å³ per cell. The value obtained for the calculated total energy is -0.2696 Ha/atom. As for the space-group type: I23, No. 197. As for the uncorrected formation energy: -1.63 eV/atom.

a b c (Å): 7.7728 7.7728 7.7728
angles (deg): 109.47 109.47 109.47
Last column: nearest neighbours and their distance in Å.
Fractional coordinates of all 29 atoms:
O1 0.3041 0.6076 0.3456  2 Ir 1.95-1.96
O2 0.6964 0.7379 0.3923  2 Ir 1.95-1.96
Ir1 0.5000 0.8440 0.3440  6 O 1.95-2.10
O3 0.6959 0.0415 0.3036  2 Ir 1.95-1.96
O4 0.6750 0.0000 0.6750  2 Ir 2.10
O5 0.2621 0.9585 0.6544  2 Ir 1.95-1.96
O6 0.3250 0.3250 0.0000  2 Ir 2.10
Ir2 0.8440 0.3440 0.5000  6 O 1.95-2.10
O7 0.6750 0.6750 0.0000  2 Ir 2.10
O8 0.6076 0.3456 0.3041  2 Ir 1.95-1.96
Ir3 0.3440 0.5000 0.8440  6 O 1.95-2.10
O9 0.9585 0.6544 0.2621  2 Ir 1.95-1.96
Er1 0.2891 0.2891 0.2891  7 O 2.25-2.45
Ir4 0.1560 0.6560 0.5000  6 O 1.95-2.10
O10 0.0000 0.0000 0.0000  4 Er 2.25
Er2 0.0000 0.0000 0.7109  7 O 2.25-2.45
Er3 0.7109 0.0000 0.0000  7 O 2.25-2.45
Er4 0.0000 0.7109 0.0000  7 O 2.25-2.45
O11 0.7379 0.3923 0.6964  2 Ir 1.95-1.96
O12 0.3456 0.3041 0.6076  2 Ir 1.95-1.96
O13 0.0415 0.3036 0.6959  2 Ir 1.95-1.96
O14 0.3923 0.6964 0.7379  2 Ir 1.95-1.96
O15 0.6544 0.2621 0.9585  2 Ir 1.95-1.96
O16 0.0000 0.6750 0.6750  2 Ir 2.10
O17 0.3036 0.6959 0.0415  2 Ir 1.95-1.96
O18 0.0000 0.3250 0.3250  2 Ir 2.10
Ir5 0.6560 0.5000 0.1560  6 O 1.95-2.10
Ir6 0.5000 0.1560 0.6560  6 O 1.95-2.10
O19 0.3250 0.0000 0.3250  2 Ir 2.10

No. 3
Er2IrO | PBE | relaxed

## Properties
The size of the total moment is 0.000 μB per formula unit. Its density of states at the Fermi level is 2.05 states/eV per cell. For the calculated volume, the calculation gives 67.2 Å³ per cell. The value obtained for the calculated total energy is -0.2628 Ha/atom. As for the space-group type: P4/mmm, No. 123. As for the uncorrected formation energy: -1.42 eV/atom.

a b c (Å): 3.1149 3.1149 6.9231
angles (deg): 90.00 90.00 90.00
Last column: nearest neighbours and their distance in Å.
Fractional coordinates of all 4 atoms:
Ir1 0.5000 0.5000 0.5000  8 Er 2.88, 4 Ir 3.11
Er1 0.0000 0.0000 0.7684  4 O 2.72, 4 Ir 2.88
O1 0.5000 0.5000 0.0000  8 Er 2.72
Er2 0.0000 0.0000 0.2316  4 O 2.72, 4 Ir 2.88

No. 4
Er5Ir2O12 | PBE | relaxed

## Properties
The size of the total moment is 0.680 μB per formula unit. Its density of states at the Fermi level is 7.97 states/eV per cell. For the calculated volume, the calculation gives 250.6 Å³ per cell. The value obtained for the calculated total energy is -0.2905 Ha/atom. As for the space-group type: C2/m, No. 12. As for the uncorrected formation energy: -2.64 eV/atom.

a b c (Å): 5.9823 6.8183 7.1503
angles (deg): 105.27 90.00 116.02
Last column: nearest neighbours and their distance in Å.
Fractional coordinates of all 19 atoms:
Er1 0.3071 0.6142 0.1685  7 O 2.28-2.38
O1 0.5005 0.0010 0.8100  2 Ir 2.03
O2 0.0992 0.6623 0.9122  1 Ir 1.98
O3 0.6005 0.6977 0.4279  4 Er 2.29-2.33
O4 0.0011 0.0023 0.8210  2 Ir 1.96
Ir1 0.7518 0.0000 0.0000  6 O 1.96-2.03
Er2 0.2995 0.5990 0.6386  7 O 2.29-2.41
O5 0.9008 0.3377 0.0878  1 Ir 1.98
Ir2 0.2482 0.0000 0.0000  6 O 1.96-2.03
Er3 0.0000 0.0000 0.5000  6 O 2.29-2.31
Er4 0.7005 0.4010 0.3614  7 O 2.29-2.41
O6 0.0972 0.6977 0.4279  4 Er 2.29-2.33
Er5 0.6929 0.3858 0.8315  7 O 2.28-2.38
O7 0.5631 0.6623 0.9122  1 Ir 1.98
O8 0.4369 0.3377 0.0878  1 Ir 1.98
O9 0.9989 0.9977 0.1790  2 Ir 1.96
O10 0.4995 0.9990 0.1900  2 Ir 2.03
O11 0.3995 0.3023 0.5721  4 Er 2.29-2.33
O12 0.9028 0.3023 0.5721  4 Er 2.29-2.33

No. 5
ErIrPb2O8 | PBE | relaxed

## Properties
The size of the total moment is 1.724 μB per formula unit. Its density of states at the Fermi level is 4.41 states/eV per cell. For the calculated volume, the calculation gives 167.5 Å³ per cell. The value obtained for the calculated total energy is -0.2343 Ha/atom. As for the space-group type: P2/m, No. 10. As for the uncorrected formation energy: -1.33 eV/atom.

a b c (Å): 4.9765 4.9695 6.7733
angles (deg): 90.00 90.00 89.46
Last column: nearest neighbours and their distance in Å.
Fractional coordinates of all 12 atoms:
O1 0.7195 0.7238 0.0000  1 Ir 1.97
O2 0.8174 0.1860 0.7764  1 Ir 1.99, 1 Pb 2.22
O3 0.3102 0.3069 0.5000  1 Er 2.18, 2 Pb 2.18
O4 0.1826 0.8140 0.2236  1 Ir 1.99, 1 Pb 2.22
Pb1 0.5000 0.5000 0.2468  6 O 2.18-2.29
O5 0.8174 0.1860 0.2236  1 Ir 1.99, 1 Pb 2.22
Pb2 0.5000 0.5000 0.7532  6 O 2.18-2.29
O6 0.2805 0.2762 0.0000  1 Ir 1.97
Er1 0.0000 0.0000 0.5000  6 O 2.18-2.27
O7 0.1826 0.8140 0.7764  1 Ir 1.99, 1 Pb 2.22
O8 0.6898 0.6931 0.5000  1 Er 2.18, 2 Pb 2.18
Ir1 0.0000 0.0000 0.0000  6 O 1.97-1.99

No. 6
ErIrPbO6 | PBE | relaxed

## Properties
The size of the total moment is 0.000 μB per formula unit. Its density of states at the Fermi level is 11.91 states/eV per cell. For the calculated volume, the calculation gives 254.4 Å³ per cell. The value obtained for the calculated total energy is -0.2465 Ha/atom. As for the space-group type: P-31c, No. 163. As for the uncorrected formation energy: -1.50 eV/atom.

a b c (Å): 5.5525 5.5525 9.5275
angles (deg): 90.00 90.00 120.00
Last column: nearest neighbours and their distance in Å.
Fractional coordinates of all 18 atoms:
O1 0.9630 0.6178 0.3654  1 Ir 1.95
O2 0.6178 0.9630 0.8654  1 Ir 1.95
Er1 0.3333 0.6667 0.2500  6 O 2.23
O3 0.3822 0.0370 0.1346  1 Ir 1.95
Pb1 0.0000 0.0000 0.0000  6 O 2.40
O4 0.6548 0.0370 0.3654  1 Ir 1.95
Ir1 0.3333 0.6667 0.7500  6 O 1.95
O5 0.0370 0.3822 0.6346  1 Ir 1.95
Er2 0.6667 0.3333 0.7500  6 O 2.23
O6 0.6548 0.6178 0.1346  1 Ir 1.95
O7 0.3822 0.3452 0.3654  1 Ir 1.95
Pb2 0.0000 0.0000 0.5000  6 O 2.40
O8 0.0370 0.6548 0.8654  1 Ir 1.95
O9 0.3452 0.3822 0.8654  1 Ir 1.95
Ir2 0.6667 0.3333 0.2500  6 O 1.95
O10 0.9630 0.3452 0.1346  1 Ir 1.95
O11 0.3452 0.9630 0.6346  1 Ir 1.95
O12 0.6178 0.6548 0.6346  1 Ir 1.95

No. 7
Pm2ErIrO8 | PBE | relaxed

## Properties
The size of the total moment is 1.514 μB per formula unit. Its density of states at the Fermi level is 5.74 states/eV per cell. For the calculated volume, the calculation gives 181.2 Å³ per cell. The value obtained for the calculated total energy is -0.2757 Ha/atom. As for the space-group type: P2/m, No. 10. As for the uncorrected formation energy: -2.29 eV/atom.

a b c (Å): 5.1337 5.1343 6.8742
angles (deg): 90.00 90.01 90.81
Last column: nearest neighbours and their distance in Å.
Fractional coordinates of all 12 atoms:
O1 0.6982 0.6994 0.4999  1 Er 2.17, 2 Pm 2.23-2.24
O2 0.8233 0.1785 0.2122  1 Ir 1.95
O3 0.2631 0.2609 0.9998  1 Ir 1.89
Er1 0.0000 0.0000 0.5000  6 O 2.17-2.37
O4 0.1769 0.8218 0.2123  1 Ir 1.95
Ir1 0.0000 0.0000 0.0000  6 O 1.89-1.95
O5 0.1767 0.8215 0.7878  1 Ir 1.95
O6 0.7369 0.7391 0.0002  1 Ir 1.89
O7 0.8231 0.1782 0.7877  1 Ir 1.95
Pm1 0.5002 0.5001 0.7495  6 O 2.23-2.43
O8 0.3018 0.3006 0.5001  1 Er 2.17, 2 Pm 2.23-2.24
Pm2 0.4998 0.4999 0.2505  6 O 2.23-2.43

No. 8
PrEr2IrO8 | PBE | relaxed

## Properties
The size of the total moment is 1.836 μB per formula unit. Its density of states at the Fermi level is 5.21 states/eV per cell. For the calculated volume, the calculation gives 175.6 Å³ per cell. The value obtained for the calculated total energy is -0.2767 Ha/atom. As for the space-group type: P2/m, No. 10. As for the uncorrected formation energy: -2.33 eV/atom.

a b c (Å): 5.0582 5.0473 6.8790
angles (deg): 90.00 90.00 89.55
Last column: nearest neighbours and their distance in Å.
Fractional coordinates of all 12 atoms:
O1 0.8128 0.1895 0.7976  1 Ir 1.93
Ir1 0.0000 0.0000 0.0000  6 O 1.93
Er1 0.5000 0.5000 0.2504  6 O 2.15-2.39
Pr1 0.0000 0.0000 0.5000  6 O 2.28-2.45
O2 0.7306 0.7325 0.0000  1 Ir 1.93
O3 0.2694 0.2675 0.0000  1 Ir 1.93
O4 0.1872 0.8105 0.2024  1 Ir 1.93
O5 0.8128 0.1896 0.2024  1 Ir 1.93
O6 0.1872 0.8104 0.7976  1 Ir 1.93
Er2 0.5000 0.5000 0.7496  6 O 2.15-2.39
O7 0.6800 0.6830 0.5000  2 Er 2.15, 1 Pr 2.28
O8 0.3200 0.3170 0.5000  2 Er 2.15, 1 Pr 2.28

No. 9
Rb3Er3IrO8 | PBE | relaxed

## Properties
The size of the total moment is 1.062 μB per formula unit. Its density of states at the Fermi level is 6.97 states/eV per cell. For the calculated volume, the calculation gives 259.0 Å³ per cell. The value obtained for the calculated total energy is -0.2447 Ha/atom. As for the space-group type: R-3m, No. 166. As for the uncorrected formation energy: -2.32 eV/atom.

a b c (Å): 6.7451 6.7452 7.6405
angles (deg): 116.20 90.00 120.00
Last column: nearest neighbours and their distance in Å.
Fractional coordinates of all 15 atoms:
O1 0.2102 0.4204 0.6645  1 Ir 2.11, 2 Er 2.29
Er1 0.0000 0.5000 0.5000  6 O 2.25-2.29
Er2 0.5000 0.5000 0.5000  6 O 2.25-2.29
Ir1 0.0000 0.0000 0.5000  6 O 2.11
Rb1 0.5000 0.5000 0.0000  6 O 2.90-2.91
Er3 0.5000 0.0000 0.5000  6 O 2.25-2.29
O2 0.7898 0.0457 0.3355  1 Ir 2.11, 2 Er 2.29
Rb2 0.0000 0.5000 0.0000  6 O 2.90-2.91
O3 0.2559 0.0457 0.3355  1 Ir 2.11, 2 Er 2.29
O4 0.2102 0.9543 0.6645  1 Ir 2.11, 2 Er 2.29
O5 0.7898 0.5796 0.3355  1 Ir 2.11, 2 Er 2.29
Rb3 0.0000 0.0000 0.0000  6 O 2.90-2.91
O6 0.2765 0.5530 0.3295  3 Er 2.25
O7 0.7441 0.9543 0.6645  1 Ir 2.11, 2 Er 2.29
O8 0.7235 0.4470 0.6705  3 Er 2.25

No. 10
Rb2ErIrO6 | PBE | relaxed

## Properties
The size of the total moment is 0.000 μB per formula unit. Its density of states at the Fermi level is 5.87 states/eV per cell. For the calculated volume, the calculation gives 146.1 Å³ per cell. The value obtained for the calculated total energy is -0.2274 Ha/atom. As for the space-group type: Fm-3m, No. 225. As for the uncorrected formation energy: -1.68 eV/atom.

a b c (Å): 5.9118 5.9118 5.9118
angles (deg): 60.00 60.00 60.00
Last column: nearest neighbours and their distance in Å.
Fractional coordinates of all 10 atoms:
Er1 0.5000 0.5000 0.5000  6 O 2.25
Rb1 0.2500 0.2500 0.2500  12 O 2.96
Ir1 0.0000 0.0000 0.0000  6 O 1.93
O1 0.7691 0.2309 0.7691  1 Ir 1.93
Rb2 0.7500 0.7500 0.7500  12 O 2.96
O2 0.2309 0.2309 0.7691  1 Ir 1.93
O3 0.7691 0.2309 0.2309  1 Ir 1.93
O4 0.2309 0.7691 0.2309  1 Ir 1.93
O5 0.7691 0.7691 0.2309  1 Ir 1.93
O6 0.2309 0.7691 0.7691  1 Ir 1.93

No. 11
Rb2ErIr3O12 | PBE | relaxed

## Properties
The size of the total moment is 4.577 μB per formula unit. Its density of states at the Fermi level is 9.50 states/eV per cell. For the calculated volume, the calculation gives 291.8 Å³ per cell. The value obtained for the calculated total energy is -0.2331 Ha/atom. As for the space-group type: R-3m, No. 166. As for the uncorrected formation energy: -1.20 eV/atom.

a b c (Å): 7.5936 7.5936 7.5936
angles (deg): 57.49 57.49 57.49
Last column: nearest neighbours and their distance in Å.
Fractional coordinates of all 18 atoms:
Ir1 0.0000 0.5000 0.0000  6 O 1.89-1.95
O1 0.0836 0.6874 0.6874  2 Ir 1.95
O2 0.3126 0.3126 0.9164  2 Ir 1.95
O3 0.3126 0.9164 0.3126  2 Ir 1.95
O4 0.9271 0.3513 0.9271  1 Ir 1.89
O5 0.9271 0.9271 0.3513  1 Ir 1.89
O6 0.6874 0.6874 0.0836  2 Ir 1.95
O7 0.0729 0.6487 0.0729  1 Ir 1.89
Rb1 0.6132 0.6132 0.6132  9 O 3.17-3.50
O8 0.6487 0.0729 0.0729  1 Ir 1.89
Ir2 0.0000 0.0000 0.5000  6 O 1.89-1.95
Ir3 0.5000 0.0000 0.0000  6 O 1.89-1.95
O9 0.3513 0.9271 0.9271  1 Ir 1.89
O10 0.6874 0.0836 0.6874  2 Ir 1.95
Er1 0.0000 0.0000 0.0000  6 O 2.21
O11 0.9164 0.3126 0.3126  2 Ir 1.95
O12 0.0729 0.0729 0.6487  1 Ir 1.89
Rb2 0.3868 0.3868 0.3868  9 O 3.17-3.50

No. 12
RbErIrO6 | PBE | relaxed

## Properties
The size of the total moment is 0.740 μB per formula unit. Its density of states at the Fermi level is 5.26 states/eV per cell. For the calculated volume, the calculation gives 168.6 Å³ per cell. The value obtained for the calculated total energy is -0.2344 Ha/atom. As for the space-group type: P312, No. 149. As for the uncorrected formation energy: -1.47 eV/atom.

a b c (Å): 5.6014 5.6015 6.2048
angles (deg): 90.01 90.00 60.00
Last column: nearest neighbours and their distance in Å.
Fractional coordinates of all 9 atoms:
O1 0.3605 0.0436 0.6759  1 Ir 1.90
Er1 0.6666 0.6667 0.5000  6 O 2.23
O2 0.5959 0.0436 0.3241  1 Ir 1.90
O3 0.0436 0.3605 0.3241  1 Ir 1.90
O4 0.3606 0.5958 0.3240  1 Ir 1.90
O5 0.5958 0.3606 0.6759  1 Ir 1.90
Rb1 0.0000 0.0000 0.0000  6 O 2.94-2.95
Ir1 0.3333 0.3333 0.5000  6 O 1.90
O6 0.0435 0.5959 0.6759  1 Ir 1.90